1.
Here is an optimized crystal structure of Fe4Si3 from Alexandria. Energies are from PBE-GGA.

The structure belongs to space group I4/mmm (No. 139); the cell edges are 3.0324, 3.0324 and 17.5936 Å and the angles 90.00°, 90.00° and 90.00°. The asymmetric unit holds Fe at (0.0000, 0.0000, 0.0690), Fe at (0.0000, 0.0000, 0.3490), Si at (0.0000, 0.0000, 0.2091) and Si at (0.0000, 0.0000, 0.5000).

The formation energy (no corrections) is -1.94 eV/f.u. The relative energy among the computed polymorphs comes out at 0.0 kJ/mol of formula units. The theoretical density is 6.32 g/cm3.

2.
Here is an optimized crystal structure of PrAl4 from Alexandria. Energies are from PBE-GGA.

The structure belongs to space group I4/mmm (No. 139); the cell edges are 4.3088, 4.3088 and 11.2983 Å and the angles 90.00°, 90.00° and 90.00°. The asymmetric unit holds Pr at (0.0000, 0.0000, 0.0000), Al at (0.0000, 0.0000, 0.3876) and Al at (0.0000, 0.5000, 0.2500).

The relative energy among the computed polymorphs comes out at 13.8 kJ/mol of formula units. The theoretical density is 3.94 g/cm3. The formation energy comes out at -0.3078 eV/atom.

3.
Here is an optimized crystal structure of MnRe3Se from Alexandria. Energies are from PBE-GGA.

The structure belongs to space group Pm-3m (No. 221); the cell edges are 4.5300, 4.5300 and 4.5300 Å and the angles 90.00°, 90.00° and 90.00°. The asymmetric unit holds Mn at (0.0000, 0.0000, 0.0000), Re at (0.0000, 0.5000, 0.5000) and Se at (0.5000, 0.5000, 0.5000).

The formation energy (no corrections) is 8.39 eV/f.u. The relative energy among the computed polymorphs comes out at 0.0 kJ/mol of formula units. The theoretical density is 12.37 g/cm3.

4.
Here is an optimized crystal structure of NaPmHo2Se4 from Alexandria. Energies are from PBE-GGA.

The structure belongs to space group P2/m (No. 10); the cell edges are 7.1611, 4.0878 and 7.1895 Å and the angles 90.00°, 108.90° and 90.00°. The asymmetric unit holds Na at (0.0000, 0.0000, 0.0000), Pm at (0.5000, 0.5000, 0.0000), Ho at (0.0000, 0.5000, 0.5000), Ho at (0.5000, 0.0000, 0.5000), Se at (0.2433, 0.0000, 0.7405) and Se at (0.2529, 0.5000, 0.2610).

The formation energy (no corrections) is -13.93 eV/f.u. The theoretical density is 6.79 g/cm3.

5.
Here is an optimized crystal structure of Sc5Zn from Alexandria. Energies are from PBE-GGA.

The structure belongs to space group I4/mcm (No. 140); the cell edges are 6.9438, 6.9438 and 11.7937 Å and the angles 90.00°, 90.00° and 90.00°. The asymmetric unit holds Sc at (0.0000, 0.0000, 0.0000), Sc at (0.1581, 0.3419, 0.1439) and Zn at (0.0000, 0.0000, 0.2500).

The relative energy among the computed polymorphs comes out at 113.5 kJ/mol of formula units. The theoretical density is 3.39 g/cm3. The formation energy comes out at 0.1063 eV/atom.

6.
Here is an optimized crystal structure of K2ZnCo from Alexandria. Energies are from PBE-GGA.

The structure belongs to space group Imm2 (No. 44); the cell edges are 4.4250, 5.8597 and 9.9638 Å and the angles 90.00°, 90.00° and 90.00°. The asymmetric unit holds K at (0.0000, 0.0000, 0.0000), K at (0.0000, 0.5000, 0.1885), Zn at (0.0000, 0.5000, 0.7995) and Co at (0.0000, 0.0000, 0.3808).

The theoretical density is 2.60 g/cm3. The formation energy comes out at 0.5606 eV/atom.

7.
Here is an optimized crystal structure of Tb2PrSi2 from Alexandria. Energies are from PBE-GGA.

The structure belongs to space group P4/mbm (No. 127); the cell edges are 7.7695, 7.7695 and 4.0900 Å and the angles 90.00°, 90.00° and 90.00°. The asymmetric unit holds Tb at (0.1766, 0.3234, 0.0000), Pr at (0.0000, 0.0000, 0.5000) and Si at (0.1117, 0.6117, 0.5000).

The formation energy (no corrections) is -3.10 eV/f.u. The relative energy among the computed polymorphs comes out at 0.0 kJ/mol of formula units. The theoretical density is 6.93 g/cm3.

8.
Here is an optimized crystal structure of Cr3Co from Alexandria. Energies are from PBE-GGA.

The structure belongs to space group Cmmm (No. 65); the cell edges are 2.8830, 3.9381 and 7.9991 Å and the angles 90.00°, 90.00° and 90.00°. The asymmetric unit holds Cr at (0.0000, 0.0000, 0.0000), Cr at (0.0000, 0.5000, 0.2525) and Co at (0.0000, 0.0000, 0.5000).

The theoretical density is 7.86 g/cm3. The formation energy comes out at 0.0787 eV/atom.

9.
Here is an optimized crystal structure of Sr2IBrO from Alexandria. Energies are from PBE-GGA.

The structure belongs to space group C2/m (No. 12); the cell edges are 15.9864, 4.4415 and 9.7789 Å and the angles 90.00°, 99.31° and 90.00°. The asymmetric unit holds Sr at (0.1598, 0.0000, 0.4553), Sr at (0.1634, 0.5000, 0.7870), I at (0.1759, 0.5000, 0.1455), Br at (0.0341, 0.0000, 0.7128) and O at (0.1920, 0.5000, 0.5659).

The formation energy (no corrections) is -11.34 eV/f.u. The theoretical density is 3.86 g/cm3.

10.
Here is an optimized crystal structure of TlGaAgSe from Alexandria. Energies are from PBE-GGA.

The structure belongs to space group P1 (No. 1); the cell edges are 4.3523, 5.0400 and 5.0664 Å and the angles 103.15°, 93.36° and 108.23°. The asymmetric unit holds Tl at (0.0000, 0.0000, 0.0000), Ga at (0.5567, 0.2964, 0.6381), Ag at (0.6897, 0.4694, 0.1781) and Se at (0.2970, 0.7271, 0.4847).

The formation energy (no corrections) is -0.25 eV/f.u. The relative energy among the computed polymorphs comes out at 28.7 kJ/mol of formula units. The theoretical density is 7.52 g/cm3.

11.
Here is an optimized crystal structure of CdGeH2 from Alexandria. Energies are from PBE-GGA.

The structure belongs to space group Fm-3m (No. 225); the cell edges are 5.8389, 5.8389 and 5.8389 Å and the angles 90.00°, 90.00° and 90.00°. The asymmetric unit holds Cd at (0.0000, 0.0000, 0.0000), Ge at (0.0000, 0.0000, 0.5000) and H at (0.2500, 0.2500, 0.2500).

The relative energy among the computed polymorphs comes out at 98.9 kJ/mol of formula units. The theoretical density is 6.24 g/cm3.

12.
Here is an optimized crystal structure of Mn2FeCo from Alexandria. Energies are from PBE-GGA.

The structure belongs to space group Cmmm (No. 65); the cell edges are 2.7550, 4.0302 and 8.0854 Å and the angles 90.00°, 90.00° and 90.00°. The asymmetric unit holds Mn at (0.0000, 0.0000, 0.2488), Fe at (0.0000, 0.5000, 0.0000) and Co at (0.0000, 0.5000, 0.5000).

The relative energy among the computed polymorphs comes out at 50.9 kJ/mol of formula units. The theoretical density is 8.31 g/cm3. The formation energy comes out at 0.1420 eV/atom.